NpGaRu3: relaxed, PBE.

Lattice parameters (Å, degrees): 8.3861 5.4948 7.4329 90.00 90.00 90.00
With the nearest neighbours (Å) after each atom.
Atoms (fractional coordinates):
1 Ga 0.5000 0.0000 0.5000  6 Ru 2.58-2.65
2 Np 0.5030 0.5233 0.7500  3 Ru 2.36-2.45
3 Ga 0.5000 0.0000 0.0000  6 Ru 2.58-2.65
4 Ga 0.0000 0.5000 0.5000  6 Ru 2.58-2.65
5 Np 0.4970 0.4767 0.2500  3 Ru 2.36-2.45
6 Ru 0.2779 0.0510 0.7500  1 Np 2.36
7 Ru 0.7208 0.6851 0.9344  1 Np 2.45, 2 Ga 2.58-2.60, 2 Ru 2.72-2.74
8 Ru 0.7779 0.4490 0.2500  1 Np 2.36
9 Ga 0.0000 0.5000 0.0000  6 Ru 2.58-2.65
10 Ru 0.7792 0.1851 0.5656  1 Np 2.45, 2 Ga 2.58-2.60, 2 Ru 2.72-2.74
11 Np 0.0030 0.9767 0.2500  3 Ru 2.36-2.45
12 Ru 0.7221 0.9490 0.2500  1 Np 2.36
13 Ru 0.2792 0.3149 0.4344  1 Np 2.45, 2 Ga 2.58-2.60, 2 Ru 2.72-2.74
14 Ru 0.2208 0.8149 0.0656  1 Np 2.45, 2 Ga 2.58-2.60, 2 Ru 2.72-2.74
15 Ru 0.2221 0.5510 0.7500  1 Np 2.36
16 Ru 0.7792 0.1851 0.9344  1 Np 2.45, 2 Ga 2.58-2.60, 2 Ru 2.72-2.74
17 Ru 0.2792 0.3149 0.0656  1 Np 2.45, 2 Ga 2.58-2.60, 2 Ru 2.72-2.74
18 Ru 0.2208 0.8149 0.4344  1 Np 2.45, 2 Ga 2.58-2.60, 2 Ru 2.72-2.74
19 Np 0.9970 0.0233 0.7500  3 Ru 2.36-2.45
20 Ru 0.7208 0.6851 0.5656  1 Np 2.45, 2 Ga 2.58-2.60, 2 Ru 2.72-2.74

Volume, A^3/atom: 17.13
Electronic total energy, eV per atom: -8.8645

***

NpGa2Ru3: relaxed, PBE.

Lattice parameters (Å, degrees): 4.4941 4.4941 5.3686 90.00 90.00 120.00
With the nearest neighbours (Å) after each atom.
Atoms (fractional coordinates):
1 Np 0.0000 0.0000 0.0000  8 Ru 2.68-2.80
2 Ru 0.6667 0.3333 0.8059  5 Ga 2.59-2.78, 3 Np 2.80
3 Ru 0.0000 0.0000 0.5000  2 Np 2.68, 6 Ga 2.76
4 Ga 0.3333 0.6667 0.6761  8 Ru 2.59-2.78
5 Ru 0.3333 0.6667 0.1941  5 Ga 2.59-2.78, 3 Np 2.80
6 Ga 0.6667 0.3333 0.3239  8 Ru 2.59-2.78

Volume, A^3/atom: 15.65
Electronic total energy, eV per atom: -8.1172

***

NpGa3Ru4: relaxed, PBE.

Lattice parameters (Å, degrees): 3.2151 4.3541 8.6628 90.00 90.00 90.00
With the nearest neighbours (Å) after each atom.
Atoms (fractional coordinates):
1 Ru 0.0000 0.0000 0.0000  4 Np 2.71, 4 Ga 2.79
2 Ru 0.0000 0.5000 0.2554  6 Ga 2.66-2.71, 2 Np 2.74
3 Ga 0.5000 0.5000 0.5000  8 Ru 2.66-2.71
4 Np 0.5000 0.5000 0.0000  8 Ru 2.71-2.74
5 Ru 0.0000 0.0000 0.5000  8 Ga 2.61-2.71
6 Ga 0.5000 0.0000 0.2627  8 Ru 2.61-2.79
7 Ga 0.5000 0.0000 0.7373  8 Ru 2.61-2.79
8 Ru 0.0000 0.5000 0.7446  6 Ga 2.66-2.71, 2 Np 2.74

Volume, A^3/atom: 15.16
Electronic total energy, eV per atom: -7.6722

***

NpGa2Ru: relaxed, PBE.

Lattice parameters (Å, degrees): 4.6347 4.6347 4.6346 60.00 60.00 60.00
With the nearest neighbours (Å) after each atom.
Atoms (fractional coordinates):
1 Ga 0.2500 0.2500 0.2500  4 Ru 2.84, 4 Np 2.84
2 Ru 0.5000 0.5000 0.5000  8 Ga 2.84
3 Np 0.0000 0.0000 0.0000  8 Ga 2.84
4 Ga 0.7500 0.7500 0.7500  4 Ru 2.84, 4 Np 2.84

Volume, A^3/atom: 17.60
Electronic total energy, eV per atom: -7.1130
Polymorph energy (0 for the lowest one), eV/f.u.: 1.04

***

NpGa2Ru: relaxed, PBE.

Lattice parameters (Å, degrees): 3.0785 3.0785 7.2834 90.00 90.00 90.00
With the nearest neighbours (Å) after each atom.
Atoms (fractional coordinates):
1 Ru 0.5000 0.5000 0.0000  8 Ga 2.60
2 Np 0.5000 0.5000 0.5000  4 Np 3.08, 8 Ga 3.11
3 Ga 0.0000 0.0000 0.1957  4 Ru 2.60, 1 Ga 2.85
4 Ga 0.0000 0.0000 0.8043  4 Ru 2.60, 1 Ga 2.85

Volume, A^3/atom: 17.26
Electronic total energy, eV per atom: -7.2750
Polymorph energy (0 for the lowest one), eV/f.u.: 0.39

***

Np2Ga12Ru: relaxed, PBE.

Lattice parameters (Å, degrees): 5.9994 5.9994 15.7488 90.00 90.00 90.00
With the nearest neighbours (Å) after each atom.
Atoms (fractional coordinates):
1 Ga 0.7499 0.7501 0.0888  2 Ru 2.54, 3 Ga 2.67-2.80
2 Ga 0.2501 0.2499 0.0888  2 Ru 2.54, 3 Ga 2.67-2.80
3 Ga 0.7501 0.2501 0.0888  2 Ru 2.54, 3 Ga 2.67-2.80
4 Ga 0.7499 0.2499 0.9112  2 Ru 2.54, 3 Ga 2.67-2.80
5 Np 0.5000 0.0000 0.2405  14 Ga 3.09-3.42
6 Np 0.5000 0.0000 0.7595  14 Ga 3.09-3.42
7 Ga 0.8308 0.6692 0.4302  4 Ga 2.59-2.87
8 Ga 0.1692 0.3308 0.4302  4 Ga 2.59-2.87
9 Ga 0.6692 0.8308 0.5698  4 Ga 2.59-2.87
10 Ga 0.2501 0.7501 0.9112  2 Ru 2.54, 3 Ga 2.67-2.80
11 Ga 0.7501 0.7499 0.9112  2 Ru 2.54, 3 Ga 2.67-2.80
12 Ga 0.1692 0.6692 0.5698  4 Ga 2.59-2.87
13 Ga 0.0000 0.0000 0.3448  5 Ga 2.40-2.60
14 Ga 0.0000 0.0000 0.6552  5 Ga 2.40-2.60
15 Ga 0.2499 0.2501 0.9112  2 Ru 2.54, 3 Ga 2.67-2.80
16 Np 0.0000 0.5000 0.7595  14 Ga 3.09-3.42
17 Ga 0.0000 0.0000 0.1921  5 Ga 2.40-2.67
18 Ga 0.8308 0.3308 0.5698  4 Ga 2.59-2.87
19 Np 0.0000 0.5000 0.2405  14 Ga 3.09-3.42
20 Ru 0.5000 0.0000 0.0000  8 Ga 2.54
21 Ga 0.3308 0.8308 0.4302  4 Ga 2.59-2.87
22 Ga 0.5000 0.5000 0.8079  5 Ga 2.40-2.67
23 Ga 0.6692 0.1692 0.4302  4 Ga 2.59-2.87
24 Ga 0.2499 0.7499 0.0888  2 Ru 2.54, 3 Ga 2.67-2.80
25 Ru 0.0000 0.5000 0.0000  8 Ga 2.54
26 Ga 0.5000 0.5000 0.3448  5 Ga 2.40-2.60
27 Ga 0.5000 0.5000 0.1921  5 Ga 2.40-2.67
28 Ga 0.0000 0.0000 0.8079  5 Ga 2.40-2.67
29 Ga 0.5000 0.5000 0.6552  5 Ga 2.40-2.60
30 Ga 0.3308 0.1692 0.5698  4 Ga 2.59-2.87

Volume, A^3/atom: 18.89
Electronic total energy, eV per atom: -4.9220

***

NpGa2Ru: relaxed, PBE.

Lattice parameters (Å, degrees): 4.4588 5.0249 6.7475 90.00 90.00 107.78
With the nearest neighbours (Å) after each atom.
Atoms (fractional coordinates):
1 Ga 0.5946 0.2719 0.5530  3 Ru 2.64-2.69, 3 Ga 2.66-2.77
2 Np 0.9529 0.8487 0.7500  2 Ru 2.61-2.64
3 Ru 0.8680 0.6065 0.2500  2 Np 2.61-2.64, 6 Ga 2.64-2.69
4 Ga 0.4054 0.7281 0.0530  3 Ru 2.64-2.69, 3 Ga 2.66-2.77
5 Ru 0.1320 0.3935 0.7500  2 Np 2.61-2.64, 6 Ga 2.64-2.69
6 Np 0.0471 0.1513 0.2500  2 Ru 2.61-2.64
7 Ga 0.4054 0.7281 0.4470  3 Ru 2.64-2.69, 3 Ga 2.66-2.77
8 Ga 0.5946 0.2719 0.9470  3 Ru 2.64-2.69, 3 Ga 2.66-2.77

Volume, A^3/atom: 17.99
Electronic total energy, eV per atom: -7.3729
Polymorph energy (0 for the lowest one), eV/f.u.: 0.00

***

NpScGaRu: relaxed, PBE.

Lattice parameters (Å, degrees): 4.6708 4.6708 4.6708 60.00 60.00 60.00
With the nearest neighbours (Å) after each atom.
Atoms (fractional coordinates):
1 Np 0.2500 0.2500 0.2500  4 Ru 2.86, 4 Sc 2.86
2 Ga 0.7500 0.7500 0.7500  4 Sc 2.86, 4 Ru 2.86
3 Ru 0.5000 0.5000 0.5000  4 Ga 2.86, 4 Np 2.86
4 Sc 0.0000 0.0000 0.0000  4 Np 2.86, 4 Ga 2.86

Volume, A^3/atom: 18.01
Electronic total energy, eV per atom: -8.0820

***

NpSc2Ga2Ru5: relaxed, PBE.

Lattice parameters (Å, degrees): 3.5033 9.7108 9.7108 90.00 90.00 90.00
With the nearest neighbours (Å) after each atom.
Atoms (fractional coordinates):
1 Np 0.0000 0.5000 0.5000  8 Ru 2.68
2 Ru 0.5000 0.6974 0.4298  2 Ga 2.49, 2 Np 2.68
3 Sc 0.0000 0.8338 0.6662  3 Ga 2.80-2.89, 6 Ru 2.88-3.12
4 Ru 0.5000 0.1974 0.0702  2 Ga 2.49, 2 Np 2.68
5 Ru 0.5000 0.9298 0.1974  2 Ga 2.49, 2 Np 2.68
6 Ga 0.0000 0.1295 0.6295  6 Ru 2.49-2.50
7 Sc 0.0000 0.1662 0.3338  3 Ga 2.80-2.89, 6 Ru 2.88-3.12
8 Ru 0.5000 0.0000 0.5000  4 Ga 2.50
9 Ga 0.0000 0.3705 0.1295  6 Ru 2.49-2.50
10 Ru 0.5000 0.0702 0.8026  2 Ga 2.49, 2 Np 2.68
11 Np 0.0000 0.0000 0.0000  8 Ru 2.68
12 Sc 0.0000 0.3338 0.8338  3 Ga 2.80-2.89, 6 Ru 2.88-3.12
13 Ru 0.5000 0.5702 0.6974  2 Ga 2.49, 2 Np 2.68
14 Ga 0.0000 0.8705 0.3705  6 Ru 2.49-2.50
15 Ga 0.0000 0.6295 0.8705  6 Ru 2.49-2.50
16 Ru 0.5000 0.4298 0.3026  2 Ga 2.49, 2 Np 2.68
17 Ru 0.5000 0.5000 0.0000  4 Ga 2.50
18 Ru 0.5000 0.8026 0.9298  2 Ga 2.49, 2 Np 2.68
19 Ru 0.5000 0.3026 0.5702  2 Ga 2.49, 2 Np 2.68
20 Sc 0.0000 0.6662 0.1662  3 Ga 2.80-2.89, 6 Ru 2.88-3.12

Volume, A^3/atom: 16.52
Electronic total energy, eV per atom: -8.1840

***

Th2NpGa2Ru5: relaxed, PBE.

Lattice parameters (Å, degrees): 3.5637 10.1821 10.1821 90.00 90.00 90.00
With the nearest neighbours (Å) after each atom.
Atoms (fractional coordinates):
1 Th 0.0000 0.8294 0.6706  3 Ga 2.94-3.05, 10 Ru 3.03-3.29
2 Ru 0.5000 0.7970 0.9299  2 Ga 2.56, 2 Np 2.82
3 Np 0.0000 0.0000 0.0000  8 Ru 2.82
4 Ga 0.0000 0.8747 0.3747  6 Ru 2.54-2.56
5 Ru 0.5000 0.2970 0.5701  2 Ga 2.56, 2 Np 2.82
6 Ru 0.5000 0.7030 0.4299  2 Ga 2.56, 2 Np 2.82
7 Ru 0.5000 0.4299 0.2970  2 Ga 2.56, 2 Np 2.82
8 Th 0.0000 0.3294 0.8294  3 Ga 2.94-3.05, 10 Ru 3.03-3.29
9 Ru 0.5000 0.5000 0.0000  4 Ga 2.54
10 Np 0.0000 0.5000 0.5000  8 Ru 2.82
11 Ga 0.0000 0.1253 0.6253  6 Ru 2.54-2.56
12 Ru 0.5000 0.2030 0.0701  2 Ga 2.56, 2 Np 2.82
13 Ru 0.5000 0.9299 0.2030  2 Ga 2.56, 2 Np 2.82
14 Th 0.0000 0.1706 0.3294  3 Ga 2.94-3.05, 10 Ru 3.03-3.29
15 Th 0.0000 0.6706 0.1706  3 Ga 2.94-3.05, 10 Ru 3.03-3.29
16 Ru 0.5000 0.0701 0.7970  2 Ga 2.56, 2 Np 2.82
17 Ga 0.0000 0.6253 0.8747  6 Ru 2.54-2.56
18 Ru 0.5000 0.0000 0.5000  4 Ga 2.54
19 Ru 0.5000 0.5701 0.7030  2 Ga 2.56, 2 Np 2.82
20 Ga 0.0000 0.3747 0.1253  6 Ru 2.54-2.56

Volume, A^3/atom: 18.47
Electronic total energy, eV per atom: -8.3910